The following is a PBE-GGA calculation of a relaxed Tb4Nd2YMg crystal, from the Alexandria database.

Results
total moment	0.00	μB per cell
symmetry	P4/mmm, No. 123
energy relative to the elements	0.03	eV/atom

Cell: 5.0025 5.0101 11.3294 Å, 63.77 90.00 90.00°
Sites, in units of the cell vectors:
Nd: 0.0000 0.0000 0.0000
Nd: 0.5000 0.0000 0.5000
Tb: 0.0000 0.2516 0.2482
Tb: 0.5000 0.7514 0.2483
Tb: 0.5000 0.2486 0.7517
Tb: 0.0000 0.7484 0.7518
Mg: 0.5000 0.5000 0.0000
Y: 0.0000 0.5000 0.5000